(1)
A plane-wave DFT calculation with PBE-GGA was carried out for crystalline BaCrBiRh2 at its relaxed geometry.

Summary:
Magnetization in μB/f.u.: 0.2
Calculated formation energy in eV/atom: 0.87
Excess energy over the best structure of this formula in the dataset in meV per atom: 169.9
Crystal system: tetragonal
E_tot in eV/atom: -5.153

a b c (Å): 5.148 5.148 5.012
angles (deg): 90.00 90.00 90.00
Fractional positions:
Ba  0.000  0.000  0.000
Cr  0.500  0.500  0.000
Bi  0.500  0.500  0.500
Rh  0.000  0.500  0.500
Rh  0.500  0.000  0.500


(2)
A plane-wave DFT calculation with PBE-GGA was carried out for crystalline Ba2CrSnBi at its relaxed geometry.

Summary:
Magnetization in μB/f.u.: 0.3
Calculated formation energy in eV/atom: 0.46
Crystal system: tetragonal
E_tot in eV/atom: -3.807

a b c (Å): 6.646 6.646 5.006
angles (deg): 90.00 90.00 90.00
Fractional positions:
Ba  0.000  0.500  0.000
Ba  0.500  0.000  0.000
Cr  0.000  0.000  0.500
Sn  0.500  0.500  0.500
Bi  0.000  0.000  0.000